No. 1
BeFe4Pt | PBE-GGA | relaxed

The calculation puts the energy of formation from the pure elements at 0.102 eV per atom.

It has space group F-43m (No. 216), with a = 6.612 Å, b = 6.612 Å, c = 6.612 Å, α = 90.00°, β = 90.00° and γ = 90.00°. Symmetry generates all atoms from Be at (0.000, 0.000, 0.000), Fe at (0.126, 0.126, 0.374) and Pt at (0.250, 0.250, 0.750).


No. 2
FeAu2 | PBE-GGA | relaxed

The calculation puts the energy of formation from the pure elements at 0.548 eV per atom.

It has space group Fd-3m (No. 227, origin choice 2), with a = 7.620 Å, b = 7.620 Å, c = 7.620 Å, α = 90.00°, β = 90.00° and γ = 90.00°. Symmetry generates all atoms from Fe at (0.125, 0.125, 0.125) and Au at (0.000, 0.000, 0.500).


Question: Look up the energy of formation from the pure elements of the first one.
Answer: 0.102 eV per atom